## Ac4AsRuI2 (PBE-GGA)

Data for Ac4AsRuI2 after structural relaxation.

Cell and atoms, written as POSCAR:
```
Ac4AsRuI2
1.0
8.0694 0.0000 0.0000
0.0000 4.3757 0.0000
-2.3012 0.0000 8.4256
Ac As Ru I
4 1 1 2
Direct
0.2101 0.0000 0.1865
0.2474 0.5000 0.8101
0.7526 0.5000 0.1899
0.7899 0.0000 0.8135
0.5000 0.0000 0.0000
0.0000 0.5000 0.0000
0.0000 0.0000 0.5000
0.5000 0.5000 0.5000
```

Summary:
The value obtained for the uncorrected formation energy is -95.4 kJ per mole of atoms. The calculation puts the total energy at -5.171 eV/atom. Its calculated density is 7.5 g/cm³.

## BaMo2Se (PBE-GGA)

Data for BaMo2Se after structural relaxation.

Cell and atoms, written as POSCAR:
```
BaMo2Se
1.0
3.6319 0.0000 0.0000
0.0000 3.6319 0.0000
0.0000 0.0000 7.0230
Ba Mo Se
1 2 1
Direct
0.0000 0.0000 0.0000
0.5000 0.5000 0.3396
0.5000 0.5000 0.6604
0.0000 0.0000 0.5000
```

Summary:
The value obtained for the uncorrected formation energy is 69.1 kJ per mole of atoms. The calculation puts the total energy at -6.052 eV/atom. Its calculated density is 7.3 g/cm³.

## Ac4LaSm3 (PBE-GGA)

Data for Ac4LaSm3 after structural relaxation.

Cell and atoms, written as POSCAR:
```
Ac4LaSm3
1.0
10.9408 0.0000 0.0000
0.0000 7.6038 0.0000
0.0000 0.0000 7.6002
Ac La Sm
8 2 6
Direct
0.0000 0.0005 0.0000
0.0000 0.4994 0.5013
0.2490 0.7515 0.2505
0.2510 0.2485 0.7505
0.5000 0.9995 0.5000
0.5000 0.5006 0.0013
0.7490 0.2485 0.7505
0.7510 0.7515 0.2505
0.0000 0.4995 0.0000
0.5000 0.5005 0.5000
0.0000 0.0003 0.5011
0.2499 0.2482 0.2505
0.2501 0.7518 0.7505
0.5000 0.9997 0.0011
0.7501 0.2482 0.2505
0.7499 0.7518 0.7505
```

Summary:
The calculation puts the total energy at -4.405 eV/atom. Its calculated density is 7.9 g/cm³.

## La6SbI8 (PBE-GGA)

Data for La6SbI8 after structural relaxation.

Cell and atoms, written as POSCAR:
```
La6SbI8
1.0
3.9301 2.2690 11.6481
-3.9301 2.2690 11.6481
0.0000 -4.5381 11.6481
La Sb I
6 1 8
Direct
0.1175 0.4488 0.7802
0.2198 0.8825 0.5512
0.4488 0.7802 0.1175
0.5512 0.2198 0.8825
0.7802 0.1175 0.4488
0.8825 0.5512 0.2198
0.5000 0.5000 0.5000
0.0594 0.7227 0.3910
0.1667 0.1667 0.1667
0.2773 0.6090 0.9406
0.3910 0.0594 0.7227
0.6090 0.9406 0.2773
0.7227 0.3910 0.0594
0.8333 0.8333 0.8333
0.9406 0.2773 0.6090
```

Summary:
The value obtained for the uncorrected formation energy is -126.6 kJ per mole of atoms. The calculation puts the total energy at -4.384 eV/atom. Its calculated density is 5.2 g/cm³.